Compound: CsGe3Se
Source: the Alexandria database
Functional: PBE
Structure: optimized geometry

Properties
* formation energy from raw total energies: 0.445 eV/atom
* crystal system: cubic
* distance to the lowest polymorph of the same formula: 0.0000 eV/atom
* total magnetization: 0.00 μB/f.u.

Cell and atoms, written as POSCAR:
```
CsGe3Se
1.0
5.4138 0.0000 0.0000
0.0000 5.4138 0.0000
0.0000 0.0000 5.4138
Cs Ge Se
1 3 1
direct
0.0000 0.0000 0.0000
0.0000 0.5000 0.5000
0.5000 0.0000 0.5000
0.5000 0.5000 0.0000
0.5000 0.5000 0.5000
```